Density functional theory data (GGA-PBE) for crystalline BeBN at its relaxed geometry.

CIF file:
```
data_BeBN
_chemical_formula_sum 'Be4 B4 N4'
_cell_length_a 4.991
_cell_length_b 2.864
_cell_length_c 6.254
_cell_angle_alpha 90.00
_cell_angle_beta 105.71
_cell_angle_gamma 90.00
_symmetry_space_group_name_H-M 'P 1'
_symmetry_Int_Tables_number 1
loop_
_symmetry_equiv_pos_as_xyz
'x,y,z'
loop_
_atom_site_label
_atom_site_type_symbol
_atom_site_fract_x
_atom_site_fract_y
_atom_site_fract_z
_atom_site_occupancy
Be1 Be 0.125 0.000 0.380 1
Be2 Be 0.375 0.500 0.620 1
Be3 Be 0.625 0.500 0.380 1
Be4 Be 0.875 0.000 0.620 1
B1 B 0.189 0.500 0.078 1
B2 B 0.311 0.000 0.922 1
B3 B 0.689 0.000 0.078 1
B4 B 0.811 0.500 0.922 1
N1 N 0.228 0.000 0.682 1
N2 N 0.272 0.500 0.318 1
N3 N 0.728 0.500 0.682 1
N4 N 0.772 0.000 0.318 1
```

**Total magnetic moment**: 0.0 μB/f.u.
**N(E_F)**: 0.2 states/eV/f.u.
**VASP energy**: -82.63 eV per cell
**Symmetry**: C2/m